(i)
Compound: LaBePb
Source: the Alexandria database
Functional: PBE
Structure: optimized geometry

Results
SG = Fmm2 (42)
D(E_F) = 0.4458 states/eV/atom
Magnetic moment = 0.0 Bohr magnetons per cell

Cell lengths 6.436, 6.427, 3.523 Å; angles 74.24, 73.97, 31.79 degrees
Fractional coordinates of all 3 atoms:
Pb 0.634 0.634 0.366
Be 0.016 0.016 0.984
La 0.350 0.350 0.650


(ii)
Compound: LaBePb
Source: the Alexandria database
Functional: PBE
Structure: optimized geometry

Results
SG = F-43m (216)
D(E_F) = 0.4981 states/eV/atom
Magnetic moment = 0.0 Bohr magnetons per cell

Cell lengths 4.756, 4.756, 4.756 Å; angles 60.00, 60.00, 60.00 degrees
Fractional coordinates of all 3 atoms:
Pb 0.500 0.500 0.500
Be 0.750 0.750 0.750
La 0.000 0.000 0.000


(iii)
Compound: LaBePb
Source: the Alexandria database
Functional: PBE
Structure: optimized geometry

Results
SG = P-6m2 (187)
D(E_F) = 0.6434 states/eV/atom
Magnetic moment = 0.0 Bohr magnetons per cell

Cell lengths 4.369, 4.369, 4.548 Å; angles 90.00, 90.00, 120.00 degrees
Fractional coordinates of all 3 atoms:
Pb 0.333 0.667 0.833
Be 0.000 0.000 0.834
La 0.667 0.333 0.333


Verdict on stability: (iii) comes out on top.


(i)
Compound: LaBePb
Source: the Alexandria database
Functional: PBE
Structure: optimized geometry

Results
SG = F-43m (216)
D(E_F) = 0.7965 states/eV/atom
Magnetic moment = 0.0 Bohr magnetons per cell

Cell lengths 5.112, 5.112, 5.112 Å; angles 60.00, 60.00, 60.00 degrees
Fractional coordinates of all 3 atoms:
Pb 0.000 0.000 0.000
Be 0.500 0.500 0.500
La 0.250 0.250 0.250


(ii)
Compound: LaBePb
Source: the Alexandria database
Functional: PBE
Structure: optimized geometry

Results
SG = F-43m (216)
D(E_F) = 0.7521 states/eV/atom
Magnetic moment = 0.0 Bohr magnetons per cell

Cell lengths 4.988, 4.988, 4.988 Å; angles 60.00, 60.00, 60.00 degrees
Fractional coordinates of all 3 atoms:
Pb 0.250 0.250 0.250
Be 0.000 0.000 0.000
La 0.500 0.500 0.500


Verdict on stability: (ii) comes out on top.


(i)
Compound: LaBe3Pb
Source: the Alexandria database
Functional: PBE
Structure: optimized geometry

Results
SG = Pm-3m (221)
D(E_F) = 0.4592 states/eV/atom
Magnetic moment = 0.0 Bohr magnetons per cell

Cell lengths 4.750, 4.750, 4.750 Å; angles 90.00, 90.00, 90.00 degrees
Fractional coordinates of all 5 atoms:
Pb 0.000 0.000 0.000
Be 0.000 0.500 0.000
Be 0.000 0.000 0.500
Be 0.500 0.000 0.000
La 0.500 0.500 0.500


(ii)
Compound: LaBe3Pb
Source: the Alexandria database
Functional: PBE
Structure: optimized geometry

Results
SG = Pm-3m (221)
D(E_F) = 1.0857 states/eV/atom
Magnetic moment = 0.0 Bohr magnetons per cell

Cell lengths 5.120, 5.120, 5.120 Å; angles 90.00, 90.00, 90.00 degrees
Fractional coordinates of all 5 atoms:
Pb 0.500 0.500 0.500
Be 0.000 0.500 0.000
Be 0.000 0.000 0.500
Be 0.500 0.000 0.000
La 0.000 0.000 0.000


Verdict on stability: (i) comes out on top.